YP3Pt6 | PBE | relaxed

Properties
**Formation energy**: -634 meV/atom
**E_tot**: -65.28 eV/f.u.
**Space group**: No. 146

abc: 6.3073 6.3073 6.3073
angles: 60.18 60.18 60.18
With the nearest neighbours (Å) after each atom.
Fractional coordinates of all 10 atoms:
Y (0.0000, 0.0000, 0.0000)  3 Pt 2.87, 1 P 2.99
P (0.1937, 0.1937, 0.1937)  6 Pt 2.48
P (0.4452, 0.4452, 0.4452)  6 Pt 2.38-2.57
P (0.7108, 0.7108, 0.7108)  6 Pt 2.30-2.42
Pt (0.0256, 0.4104, 0.5108)  2 P 2.30-2.48
Pt (0.0980, 0.5626, 0.8080)  3 P 2.38-2.48
Pt (0.4104, 0.5108, 0.0256)  2 P 2.30-2.48
Pt (0.5108, 0.0256, 0.4104)  2 P 2.30-2.48
Pt (0.5626, 0.8080, 0.0980)  3 P 2.38-2.48
Pt (0.8080, 0.0980, 0.5626)  3 P 2.38-2.48